1.
The following is a GGA-PBE calculation of an optimized crystal structure of MnCrPdAu, from the Alexandria database.

The total magnetization comes out at 8.31 μB/f.u. The calculation puts the total energy at -6.7523 eV/atom. The calculation puts the formation enthalpy at 0 K at 63 meV per atom.

It has space group F-43m (No. 216), with a = 6.3592 Å, b = 6.3592 Å, c = 6.3592 Å, α = 90.00°, β = 90.00° and γ = 90.00°. The asymmetric unit holds Mn at (0.0000, 0.0000, 0.0000), Cr at (0.0000, 0.0000, 0.5000), Pd at (0.2500, 0.2500, 0.2500) and Au at (0.2500, 0.2500, 0.7500).



2.
The following is a GGA-PBE calculation of an optimized crystal structure of MnCrAuS, from the Alexandria database.

As for the energy above the most stable polymorph in this dataset: 94.9 meV per atom. The total magnetization comes out at 2.34 μB/f.u. For the formation energy from raw total energies, the calculation gives 0.008 eV per atom. The calculation puts the total energy at -6.5414 eV/atom.

It has space group R3m (No. 160, hexagonal axes), with a = 2.9342 Å, b = 2.9342 Å, c = 24.6358 Å, α = 90.00°, β = 90.00° and γ = 120.00°. The asymmetric unit holds Mn at (0.0000, 0.0000, 0.0000), Cr at (0.0000, 0.0000, 0.2552), Au at (0.0000, 0.0000, 0.4979) and S at (0.0000, 0.0000, 0.3893).



3.
The following is a GGA-PBE calculation of an optimized crystal structure of MnCrAuS, from the Alexandria database.

As for the energy above the most stable polymorph in this dataset: 126.7 meV per atom. The total magnetization comes out at 0.52 μB/f.u. For the formation energy from raw total energies, the calculation gives 0.040 eV per atom. The calculation puts the total energy at -6.5097 eV/atom.

It has space group Cm (No. 8), with a = 8.5354 Å, b = 3.0938 Å, c = 5.9683 Å, α = 90.00°, β = 120.97° and γ = 90.00°. The asymmetric unit holds Mn at (0.0000, 0.0000, 0.0000), Cr at (0.3433, 0.0000, 0.1858), Au at (0.2217, 0.5000, 0.4523) and S at (0.1754, 0.5000, 0.8586).



4.
The following is a GGA-PBE calculation of an optimized crystal structure of MnCrAuS, from the Alexandria database.

As for the energy above the most stable polymorph in this dataset: 144.1 meV per atom. The total magnetization comes out at 5.37 μB/f.u. For the formation energy from raw total energies, the calculation gives 0.057 eV per atom. The calculation puts the total energy at -6.4922 eV/atom.

It has space group I4mm (No. 107), with a = 3.0480 Å, b = 3.0480 Å, c = 13.5912 Å, α = 90.00°, β = 90.00° and γ = 90.00°. The asymmetric unit holds Mn at (0.0000, 0.0000, 0.0000), Cr at (0.0000, 0.0000, 0.3829), Au at (0.0000, 0.0000, 0.7599) and S at (0.0000, 0.0000, 0.5651).